Hf6SnMo2: relaxed, PBE-GGA.

## Properties
Total energy   -170.5 eV per cell
Mass density   11709 kg/m³
Magnetization   0.000 μB/cell

Cell lengths 8.0170, 8.0170, 8.0170 Å; angles 113.47, 113.06, 102.12 degrees
Positions (direct):
Hf (0.0377, 0.2465, 0.7912)
Hf (0.1997, 0.2876, 0.4873)
Hf (0.1997, 0.7124, 0.9120)
Hf (0.3323, 0.0287, 0.6964)
Hf (0.3323, 0.6360, 0.3036)
Hf (0.4553, 0.2465, 0.2088)
Hf (0.5447, 0.7535, 0.7912)
Hf (0.6677, 0.3640, 0.6964)
Hf (0.6677, 0.9713, 0.3036)
Hf (0.8003, 0.2876, 0.0880)
Hf (0.8003, 0.7124, 0.5127)
Hf (0.9623, 0.7535, 0.2088)
Sn (0.0000, 0.0000, 0.0000)
Sn (0.5000, 0.5000, 0.0000)
Mo (0.1214, 0.6214, 0.5000)
Mo (0.3256, 0.0000, 0.3256)
Mo (0.6744, 0.0000, 0.6744)
Mo (0.8786, 0.3786, 0.5000)